## Th2CS (PBE)

Data for a relaxed structure of Th2CS. Values from VASP.

Symmetry: R3m (160)
Total magnetic moment in μB per formula unit: 0.0
Formation energy (no corrections) in eV per atom: -1.14
Crystal system: trigonal
Density of states at the Fermi level in states/eV per cell: 0.942

Quantum ESPRESSO input file:
```
&SYSTEM
  ibrav = 0, nat = 4, ntyp = 3
/
ATOMIC_SPECIES
Th 232.04 Th.upf
C 12.01 C.upf
S 32.06 S.upf
CELL_PARAMETERS angstrom
3.7898 0.0000 0.0000
1.8949 3.2820 0.0000
1.8949 1.0940 6.9631
ATOMIC_POSITIONS crystal
Th 0.9553 0.9553 0.1340
Th 0.7604 0.7604 0.7187
C 0.3600 0.3600 0.9201
S 0.1910 0.1910 0.4269
```